[1]
This record from Alexandria describes a geometry-optimized RbCuAs2Br structure. The functional is PBE-GGA.

The total energy comes out at -3.30 eV per atom. The value obtained for the uncorrected formation energy is -0.0936 eV/atom.

The structure belongs to space group P4/mmm (No. 123); the cell edges are 4.622, 4.622 and 7.835 Å and the angles 90.00°, 90.00° and 90.00°. The distinct sites, in fractional coordinates, are Rb at (0.000, 0.000, 0.000), Cu at (0.500, 0.500, 0.500), As at (0.000, 0.500, 0.500) and Br at (0.500, 0.500, 0.000).

[2]
This record from Alexandria describes a geometry-optimized RbCuAsBr2 structure. The functional is PBE-GGA.

The total energy comes out at -2.99 eV per atom. The value obtained for the polymorph energy (0 for the lowest one) is 0.00 eV per formula unit. The value obtained for the uncorrected formation energy is -0.3824 eV/atom.

The structure belongs to space group P4/mmm (No. 123); the cell edges are 5.567, 5.567 and 4.675 Å and the angles 90.00°, 90.00° and 90.00°. The distinct sites, in fractional coordinates, are Rb at (0.000, 0.000, 0.000), Cu at (0.500, 0.500, 0.500), As at (0.500, 0.500, 0.000) and Br at (0.000, 0.500, 0.500).

[3]
This record from Alexandria describes a geometry-optimized Rb2CuAsBr6 structure. The functional is PBE-GGA.

The total energy comes out at -2.99 eV per atom. The value obtained for the uncorrected formation energy is -0.9152 eV/atom.

The structure belongs to space group Fm-3m (No. 225); the cell edges are 10.709, 10.709 and 10.709 Å and the angles 90.00°, 90.00° and 90.00°. The distinct sites, in fractional coordinates, are Rb at (0.250, 0.250, 0.250), Cu at (0.000, 0.000, 0.000), As at (0.000, 0.000, 0.500) and Br at (0.000, 0.000, 0.248).

[4]
This record from Alexandria describes a geometry-optimized CuReAs2Br structure. The functional is PBE-GGA.

The total energy comes out at -4.72 eV per atom. The value obtained for the polymorph energy (0 for the lowest one) is 0.00 eV per formula unit. The value obtained for the uncorrected formation energy is 0.7860 eV/atom.

The structure belongs to space group P4/mmm (No. 123); the cell edges are 4.718, 4.718 and 5.576 Å and the angles 90.00°, 90.00° and 90.00°. The distinct sites, in fractional coordinates, are Cu at (0.000, 0.000, 0.000), Re at (0.500, 0.500, 0.500), As at (0.000, 0.500, 0.500) and Br at (0.500, 0.500, 0.000).

[5]
This record from Alexandria describes a geometry-optimized CuAs2RuBr structure. The functional is PBE-GGA.

The total energy comes out at -4.24 eV per atom. The value obtained for the polymorph energy (0 for the lowest one) is 0.00 eV per formula unit. The value obtained for the uncorrected formation energy is 0.6326 eV/atom.

The structure belongs to space group P4/mmm (No. 123); the cell edges are 4.676, 4.676 and 5.429 Å and the angles 90.00°, 90.00° and 90.00°. The distinct sites, in fractional coordinates, are Cu at (0.000, 0.000, 0.000), As at (0.000, 0.500, 0.500), Ru at (0.500, 0.500, 0.500) and Br at (0.500, 0.500, 0.000).

[6]
This record from Alexandria describes a geometry-optimized CuAs2SBr structure. The functional is PBE-GGA.

The total energy comes out at -3.10 eV per atom. The value obtained for the polymorph energy (0 for the lowest one) is 0.00 eV per formula unit. The value obtained for the uncorrected formation energy is 0.7396 eV/atom.

The structure belongs to space group P4/mmm (No. 123); the cell edges are 4.836, 4.836 and 4.657 Å and the angles 90.00°, 90.00° and 90.00°. The distinct sites, in fractional coordinates, are Cu at (0.000, 0.000, 0.000), As at (0.000, 0.500, 0.000), S at (0.500, 0.500, 0.500) and Br at (0.000, 0.000, 0.500).

[7]
This record from Alexandria describes a geometry-optimized CuAs2SBr structure. The functional is PBE-GGA.

The total energy comes out at -2.87 eV per atom. The value obtained for the polymorph energy (0 for the lowest one) is 1.14 eV per formula unit. The value obtained for the uncorrected formation energy is 0.9673 eV/atom.

The structure belongs to space group P4/mmm (No. 123); the cell edges are 4.833, 4.833 and 5.200 Å and the angles 90.00°, 90.00° and 90.00°. The distinct sites, in fractional coordinates, are Cu at (0.000, 0.000, 0.000), As at (0.000, 0.500, 0.500), S at (0.500, 0.500, 0.500) and Br at (0.500, 0.500, 0.000).

[8]
This record from Alexandria describes a geometry-optimized CuAsS2Br structure. The functional is PBE-GGA.

The total energy comes out at -3.84 eV per atom. The value obtained for the uncorrected formation energy is -0.1027 eV/atom.

The structure belongs to space group P2_1/m (No. 11); the cell edges are 7.377, 4.862 and 7.924 Å and the angles 90.00°, 103.19° and 90.00°. The distinct sites, in fractional coordinates, are Cu at (0.025, 0.250, 0.380), As at (0.205, 0.250, 0.897), S at (0.033, 0.750, 0.352), S at (0.096, 0.750, 0.897) and Br at (0.464, 0.250, 0.751).

[9]
This record from Alexandria describes a geometry-optimized CuSbAs2Br structure. The functional is PBE-GGA.

The total energy comes out at -3.35 eV per atom. The value obtained for the polymorph energy (0 for the lowest one) is 0.00 eV per formula unit. The value obtained for the uncorrected formation energy is 0.4903 eV/atom.

The structure belongs to space group P4/mmm (No. 123); the cell edges are 4.858, 4.858 and 4.808 Å and the angles 90.00°, 90.00° and 90.00°. The distinct sites, in fractional coordinates, are Cu at (0.000, 0.000, 0.000), Sb at (0.500, 0.500, 0.500), As at (0.000, 0.500, 0.000) and Br at (0.000, 0.000, 0.500).

[10]
This record from Alexandria describes a geometry-optimized ScCuAs2Br structure. The functional is PBE-GGA.

The total energy comes out at -4.00 eV per atom. The value obtained for the polymorph energy (0 for the lowest one) is 0.90 eV per formula unit. The value obtained for the uncorrected formation energy is 0.2778 eV/atom.

The structure belongs to space group P4/mmm (No. 123); the cell edges are 5.174, 5.174 and 5.180 Å and the angles 90.00°, 90.00° and 90.00°. The distinct sites, in fractional coordinates, are Sc at (0.000, 0.000, 0.000), Cu at (0.500, 0.500, 0.500), As at (0.000, 0.500, 0.000) and Br at (0.000, 0.000, 0.500).

[11]
This record from Alexandria describes a geometry-optimized ScCuAsBr2 structure. The functional is PBE-GGA.

The total energy comes out at -3.83 eV per atom. The value obtained for the polymorph energy (0 for the lowest one) is 0.00 eV per formula unit. The value obtained for the uncorrected formation energy is -0.1436 eV/atom.

The structure belongs to space group P4/mmm (No. 123); the cell edges are 5.133, 5.133 and 5.503 Å and the angles 90.00°, 90.00° and 90.00°. The distinct sites, in fractional coordinates, are Sc at (0.000, 0.000, 0.000), Cu at (0.500, 0.500, 0.500), As at (0.000, 0.000, 0.500) and Br at (0.000, 0.500, 0.000).

[12]
This record from Alexandria describes a geometry-optimized ScCuAsBr2 structure. The functional is PBE-GGA.

The total energy comes out at -3.70 eV per atom. The value obtained for the polymorph energy (0 for the lowest one) is 0.63 eV per formula unit. The value obtained for the uncorrected formation energy is -0.0177 eV/atom.

The structure belongs to space group P4/mmm (No. 123); the cell edges are 4.823, 4.823 and 5.074 Å and the angles 90.00°, 90.00° and 90.00°. The distinct sites, in fractional coordinates, are Sc at (0.000, 0.000, 0.000), Cu at (0.500, 0.500, 0.500), As at (0.500, 0.500, 0.000) and Br at (0.000, 0.500, 0.500).

Question: Among the records above, which one has the lowest uncorrected formation energy?
Answer: Rb2CuAsBr6